# 1
# Mn2V2Sb

Mn2V2Sb after structural relaxation (PBE, Alexandria).

Computed properties:
Space-group type ... P4/mbm
ΔE_f (raw) ... 183 meV/atom

Cell: 7.0436 7.0436 2.9469 Å, 90.00 90.00 90.00°
With the nearest neighbours (Å) after each atom.
Atoms (fractional coordinates):
V 0.6550 0.8450 0.5000  6 Mn 2.49-2.60
Mn 0.6295 0.1295 0.0000  6 V 2.49-2.60, 1 Mn 2.58, 2 Sb 2.76
Mn 0.8705 0.6295 0.0000  6 V 2.49-2.60, 1 Mn 2.58, 2 Sb 2.76
Mn 0.1295 0.3705 0.0000  6 V 2.49-2.60, 1 Mn 2.58, 2 Sb 2.76
Sb 0.0000 0.0000 0.0000  4 Mn 2.76, 2 Sb 2.95, 8 V 3.04
V 0.3450 0.1550 0.5000  6 Mn 2.49-2.60
Mn 0.3705 0.8705 0.0000  6 V 2.49-2.60, 1 Mn 2.58, 2 Sb 2.76
V 0.8450 0.3450 0.5000  6 Mn 2.49-2.60
V 0.1550 0.6550 0.5000  6 Mn 2.49-2.60
Sb 0.5000 0.5000 0.0000  4 Mn 2.76, 2 Sb 2.95, 8 V 3.04

***

# 2
# Al2InRh2

Al2InRh2 after structural relaxation (PBE, Alexandria).

Computed properties:
Space-group type ... P4/mbm
Offset from the most stable computed form ... 0.000 eV/atom
Formation energy ... -0.70 eV/atom

Cell: 7.2904 7.2904 2.9807 Å, 90.00 90.00 90.00°
With the nearest neighbours (Å) after each atom.
Atoms (fractional coordinates):
Al 0.1415 0.6415 0.5000  6 Rh 2.60-2.61
Rh 0.1514 0.3486 0.0000  6 Al 2.60-2.61, 2 In 2.77
In 0.5000 0.5000 0.0000  4 Rh 2.77, 2 In 2.98
Al 0.3585 0.1415 0.5000  6 Rh 2.60-2.61
In 0.0000 0.0000 0.0000  4 Rh 2.77, 2 In 2.98
Rh 0.6514 0.1514 0.0000  6 Al 2.60-2.61, 2 In 2.77
Al 0.8585 0.3585 0.5000  6 Rh 2.60-2.61
Al 0.6415 0.8585 0.5000  6 Rh 2.60-2.61
Rh 0.8486 0.6514 0.0000  6 Al 2.60-2.61, 2 In 2.77
Rh 0.3486 0.8486 0.0000  6 Al 2.60-2.61, 2 In 2.77

***

# 3
# RbZn2RuN

RbZn2RuN after structural relaxation (PBE, Alexandria).

Computed properties:
Space-group type ... P4/mmm
ΔE_f (raw) ... 2540 meV/atom

Cell: 7.3090 6.4756 7.3090 Å, 90.00 90.00 90.00°
With the nearest neighbours (Å) after each atom.
Atoms (fractional coordinates):
Rb 0.0000 0.0000 0.0000  2 Ru 3.24
Zn 0.0000 0.0000 0.5000  2 Rb 3.65
N 0.5000 0.5000 0.5000  8 Zn 4.88, 4 Ru 5.17
Zn 0.5000 0.0000 0.0000  2 Rb 3.65
Ru 0.0000 0.5000 0.0000  2 Rb 3.24

***

# 4
# PmThTl

PmThTl after structural relaxation (PBE, Alexandria).

Computed properties:
Space-group type ... P2_1/m
Offset from the most stable computed form ... 0.024 eV/atom
Formation energy ... -0.14 eV/atom

Cell: 3.6643 5.0503 10.2454 Å, 90.00 100.21 90.00°
With the nearest neighbours (Å) after each atom.
Atoms (fractional coordinates):
Th 0.2142 0.2500 0.9289  1 Tl 3.37, 6 Th 3.43-3.66, 1 Pm 3.65
Tl 0.9550 0.7500 0.4050  2 Tl 3.17, 4 Pm 3.32-3.33, 1 Th 3.37
Th 0.7858 0.7500 0.0711  1 Tl 3.37, 6 Th 3.43-3.66, 1 Pm 3.65
Pm 0.3968 0.2500 0.2905  6 Tl 3.32-3.58, 1 Th 3.65, 2 Pm 3.66
Tl 0.0450 0.2500 0.5950  2 Tl 3.17, 4 Pm 3.32-3.33, 1 Th 3.37
Pm 0.6032 0.7500 0.7095  6 Tl 3.32-3.58, 1 Th 3.65, 2 Pm 3.66

***

# 5
# SrFe2Mo

SrFe2Mo after structural relaxation (PBE, Alexandria).

Computed properties:
Space-group type ... Amm2
Offset from the most stable computed form ... 0.214 eV/atom
Formation energy ... 0.68 eV/atom

Cell: 3.8100 3.5195 6.2753 Å, 73.78 90.00 90.00°
With the nearest neighbours (Å) after each atom.
Atoms (fractional coordinates):
Sr 0.5000 0.7910 0.7916  5 Fe 3.06-3.13
Fe 0.0000 0.1459 0.0827  2 Fe 2.26, 2 Mo 2.35
Fe 0.5000 0.0458 0.2845  2 Fe 2.26
Mo 0.0000 0.5172 0.3412  6 Fe 2.35-2.62

***

# 6
# TiZnFeRh

TiZnFeRh after structural relaxation (PBE, Alexandria).

Computed properties:
Space-group type ... F-43m
Formation energy ... -0.40 eV/atom

Cell: 4.2408 4.2408 4.2408 Å, 60.00 60.00 60.00°
With the nearest neighbours (Å) after each atom.
Atoms (fractional coordinates):
Rh 0.5000 0.5000 0.5000  4 Zn 2.60, 4 Ti 2.60
Zn 0.7500 0.7500 0.7500  4 Fe 2.60, 4 Rh 2.60
Fe 0.0000 0.0000 0.0000  4 Zn 2.60, 4 Ti 2.60
Ti 0.2500 0.2500 0.2500  4 Fe 2.60, 4 Rh 2.60

***

# 7
# BaMgPt2

BaMgPt2 after structural relaxation (PBE, Alexandria).

Computed properties:
Space-group type ... R3m
Formation energy ... 0.20 eV/atom

Cell: 10.3644 10.3644 10.3644 Å, 17.68 17.68 17.68°
With the nearest neighbours (Å) after each atom.
Atoms (fractional coordinates):
Pt 0.9999 0.9999 0.9999  3 Mg 2.67, 3 Pt 2.87
Pt 0.2610 0.2610 0.2610  9 Pt 2.87-3.18, 3 Ba 3.18
Ba 0.5095 0.5095 0.5095  3 Pt 3.18, 6 Ba 3.18
Mg 0.7296 0.7296 0.7296  3 Pt 2.67

***

# 8
# Y2ReB10

Y2ReB10 after structural relaxation (PBE, Alexandria).

Computed properties:
Space-group type ... Pbam
Formation energy ... -0.38 eV/atom

Cell: 4.1780 5.7631 11.4432 Å, 90.00 90.00 90.00°
With the nearest neighbours (Å) after each atom.
Atoms (fractional coordinates):
B 0.0000 0.1283 0.6974  5 B 1.67-1.79
B 0.0000 0.0623 0.1930  4 B 1.67-1.78
Y 0.5000 0.7758 0.6329  20 B 2.94-3.07, 2 Re 3.03
B 0.0000 0.3797 0.0406  4 B 1.67-1.79
Re 0.0000 0.0000 0.0000  8 B 2.24-2.27
B 0.7002 0.2273 0.1194  4 B 1.67-1.78
Y 0.5000 0.2758 0.8671  20 B 2.94-3.07, 2 Re 3.03
B 0.2998 0.2273 0.1194  4 B 1.67-1.78
B 0.0000 0.9377 0.8070  4 B 1.67-1.78
B 0.7002 0.7727 0.8806  4 B 1.67-1.78
B 0.2998 0.7273 0.3806  4 B 1.67-1.78
Y 0.5000 0.7242 0.1329  20 B 2.94-3.07, 2 Re 3.03
B 0.7002 0.7273 0.3806  4 B 1.67-1.78
B 0.0000 0.4377 0.6930  4 B 1.67-1.78
B 0.0000 0.5623 0.3070  4 B 1.67-1.78
B 0.0000 0.6283 0.8026  5 B 1.67-1.79
B 0.0000 0.8717 0.3026  5 B 1.67-1.79
B 0.2998 0.7727 0.8806  4 B 1.67-1.78
B 0.0000 0.1203 0.5406  4 B 1.67-1.79
B 0.7002 0.2727 0.6194  4 B 1.67-1.78
Y 0.5000 0.2242 0.3671  20 B 2.94-3.07, 2 Re 3.03
B 0.2998 0.2727 0.6194  4 B 1.67-1.78
B 0.0000 0.3717 0.1974  5 B 1.67-1.79
Re 0.0000 0.5000 0.5000  8 B 2.24-2.27
B 0.0000 0.6203 0.9594  4 B 1.67-1.79
B 0.0000 0.8797 0.4594  4 B 1.67-1.79